1.
Material: Na3LiPa2Te6
Method: DFT, PBE
State: optimized geometry

For the formation energy (no corrections), the calculation gives -0.93 eV/atom.

The space group is C2/m (No. 12) and the conventional cell measures 7.666, 13.272 and 7.948 Å, with angles of 90.00, 108.76 and 90.00 degrees. The distinct sites, in fractional coordinates, are Na at (0.000, 0.000, 0.000), Na at (0.000, 0.334, 0.000), Li at (0.000, 0.500, 0.500), Pa at (0.000, 0.167, 0.500), Te at (0.241, 0.000, 0.732) and Te at (0.245, 0.332, 0.731).



2.
Material: DyPaMo
Method: DFT, PBE
State: optimized geometry

The calculation puts the offset from the most stable computed form at 126 meV per atom. The formation energy from the elements comes out at 226 meV per atom.

The space group is I4/mmm (No. 139) and the conventional cell measures 3.195, 3.195 and 28.639 Å, with angles of 90.00, 90.00 and 90.00 degrees. The distinct sites, in fractional coordinates, are Dy at (0.000, 0.000, 0.058), Pa at (0.000, 0.000, 0.348) and Mo at (0.000, 0.000, 0.225).



3.
Material: Ba2NdO
Method: DFT, PBE
State: optimized geometry

For the formation energy (no corrections), the calculation gives -0.97 eV/atom.

The space group is R-3m (No. 166, hexagonal axes) and the conventional cell measures 3.8417, 3.8417 and 32.2101 Å, with angles of 90.00, 90.00 and 120.00 degrees. The distinct sites, in fractional coordinates, are Ba at (0.0000, 0.0000, 0.1177), Nd at (0.0000, 0.0000, 0.0000) and O at (0.0000, 0.0000, 0.5000).



4.
Material: SrCd2Cu
Method: DFT, PBE
State: optimized geometry

The formation energy from the elements comes out at 12 meV per atom.

The space group is Fm-3m (No. 225) and the conventional cell measures 7.313, 7.313 and 7.313 Å, with angles of 90.00, 90.00 and 90.00 degrees. The distinct sites, in fractional coordinates, are Sr at (0.000, 0.000, 0.000), Cd at (0.250, 0.250, 0.250) and Cu at (0.000, 0.000, 0.500).



5.
Material: Ba2LiZnCd6
Method: DFT, PBE
State: optimized geometry

The formation energy from the elements comes out at -170 meV per atom.

The space group is C2/m (No. 12) and the conventional cell measures 10.415, 10.471 and 7.327 Å, with angles of 90.00, 134.43 and 90.00 degrees. The distinct sites, in fractional coordinates, are Ba at (0.000, 0.207, 0.000), Li at (0.000, 0.500, 0.500), Zn at (0.000, 0.000, 0.500), Cd at (0.000, 0.255, 0.500), Cd at (0.202, 0.500, 0.412) and Cd at (0.202, 0.500, 0.993).



6.
Material: Er2CuF8
Method: DFT, PBE
State: optimized geometry

The calculation puts the offset from the most stable computed form at 0 meV per atom. For the formation energy (no corrections), the calculation gives -3.40 eV/atom.

The space group is C2/m (No. 12) and the conventional cell measures 9.337, 7.020 and 4.664 Å, with angles of 90.00, 106.51 and 90.00 degrees. The distinct sites, in fractional coordinates, are Er at (0.177, 0.000, 0.396), Cu at (0.000, 0.500, 0.000), F at (0.075, 0.000, 0.784), F at (0.131, 0.500, 0.764) and F at (0.153, 0.305, 0.274).



7.
Material: Pm4Pr2NdSc
Method: DFT, PBE
State: optimized geometry

The formation energy from the elements comes out at 30 meV per atom.

The space group is P4/mmm (No. 123) and the conventional cell measures 5.116, 5.116 and 10.276 Å, with angles of 90.00, 90.00 and 90.00 degrees. The distinct sites, in fractional coordinates, are Pm at (0.000, 0.500, 0.243), Pr at (0.000, 0.000, 0.000), Pr at (0.500, 0.500, 0.500), Nd at (0.000, 0.000, 0.500) and Sc at (0.500, 0.500, 0.000).



8.
Material: Y2Sc2Sb
Method: DFT, PBE
State: optimized geometry

The calculation puts the offset from the most stable computed form at 0 meV per atom. For the formation energy (no corrections), the calculation gives -0.29 eV/atom.

The space group is P4/mbm (No. 127) and the conventional cell measures 7.629, 7.629 and 4.753 Å, with angles of 90.00, 90.00 and 90.00 degrees. The distinct sites, in fractional coordinates, are Y at (0.155, 0.345, 0.000), Sc at (0.142, 0.642, 0.500) and Sb at (0.000, 0.000, 0.500).



The records above yield magnetization values of 4.01, 0.01, 0.00, 0.00, 0.00, 2.00, 0.00, 0.00 μB/cell, respectively.